## MoPIr2 (PBE)

Data for an optimized crystal structure of MoPIr2.

Summary:
ΔH_f (0 K)   0.29 eV/atom
Total moment   0.00 μB/f.u.
Symmetry   P4/mmm, No. 123

a b c (Å): 4.6347 4.6347 2.7754
angles (deg): 90.00 90.00 90.00
Last column: nearest neighbours and their distance in Å.
Element x y z (fractional)
Mo (0.5000, 0.5000, 0.5000)  8 Ir 2.70, 2 Mo 2.78
P (0.0000, 0.0000, 0.5000)  8 Ir 2.70, 2 P 2.78
Ir (0.5000, 0.0000, 0.0000)  4 Mo 2.70, 4 P 2.70, 2 Ir 2.78
Ir (0.0000, 0.5000, 0.0000)  4 Mo 2.70, 4 P 2.70, 2 Ir 2.78



## Zr12Ga5C2 (PBE)

Data for an optimized crystal structure of Zr12Ga5C2.

Summary:
ΔH_f (0 K)   -0.24 eV/atom
Total moment   0.00 μB/f.u.
Symmetry   C2/m, No. 12

a b c (Å): 6.7718 8.4097 8.1708
angles (deg): 104.71 90.00 113.74
Last column: nearest neighbours and their distance in Å.
Element x y z (fractional)
Zr (0.9985, 0.9970, 0.1778)  2 C 2.30
Zr (0.0844, 0.6904, 0.9183)  1 C 2.29
Zr (0.6060, 0.6904, 0.9183)  1 C 2.29
Zr (0.0976, 0.7049, 0.4312)  4 Ga 2.74-2.84
Zr (0.6073, 0.7049, 0.4312)  4 Ga 2.74-2.84
Zr (0.4970, 0.9940, 0.7989)  2 C 2.29
Zr (0.5030, 0.0060, 0.2011)  2 C 2.29
Zr (0.9024, 0.2951, 0.5688)  4 Ga 2.74-2.84
Zr (0.3927, 0.2951, 0.5688)  4 Ga 2.74-2.84
Zr (0.9156, 0.3096, 0.0817)  1 C 2.29
Zr (0.3940, 0.3096, 0.0817)  1 C 2.29
Zr (0.0015, 0.0030, 0.8222)  2 C 2.30
Ga (0.3030, 0.6059, 0.6497)  7 Zr 2.74-2.90
Ga (0.3161, 0.6323, 0.1588)  7 Zr 2.75-2.88
Ga (0.0000, 0.0000, 0.5000)  6 Zr 2.63-2.74
Ga (0.6839, 0.3677, 0.8412)  7 Zr 2.75-2.88
Ga (0.6970, 0.3941, 0.3503)  7 Zr 2.74-2.90
C (0.7383, 0.0000, 0.0000)  6 Zr 2.29-2.30
C (0.2617, 0.0000, 0.0000)  6 Zr 2.29-2.30



## Nd4Ni2H (PBE)

Data for an optimized crystal structure of Nd4Ni2H.

Summary:
Polymorph energy (0 for the lowest one)   0.108 eV/atom
Total moment   0.00 μB/f.u.
Symmetry   I4/mmm, No. 139

a b c (Å): 4.8440 4.8440 7.7907
angles (deg): 108.11 108.11 90.00
Last column: nearest neighbours and their distance in Å.
Element x y z (fractional)
Ni (0.6129, 0.6129, 0.2258)  5 Nd 2.65-2.89
Ni (0.3871, 0.3871, 0.7742)  5 Nd 2.65-2.89
Nd (0.8024, 0.8024, 0.6047)  1 Ni 2.65, 1 H 2.77
Nd (0.1976, 0.1976, 0.3953)  1 Ni 2.65, 1 H 2.77
Nd (0.0000, 0.5000, 0.0000)  2 H 2.42
Nd (0.5000, 0.0000, 0.0000)  2 H 2.42
H (0.0000, 0.0000, 0.0000)  4 Nd 2.42



## Pr5Er5Sc2 (PBE)

Data for an optimized crystal structure of Pr5Er5Sc2.

Summary:
ΔH_f (0 K)   0.04 eV/atom
Total moment   0.00 μB/f.u.
Symmetry   C2/m, No. 12

a b c (Å): 5.0200 7.9342 10.6855
angles (deg): 72.62 76.41 71.56
Last column: nearest neighbours and their distance in Å.
Element x y z (fractional)
Pr (0.8379, 0.8259, 0.4983)  5 Er 3.51-3.66, 2 Sc 3.52-3.58, 5 Pr 3.57-3.64
Pr (0.2539, 0.7412, 0.7509)  6 Er 3.49-3.63, 2 Sc 3.52, 4 Pr 3.57-3.63
Pr (0.7461, 0.2588, 0.2491)  6 Er 3.49-3.63, 2 Sc 3.52, 4 Pr 3.57-3.63
Pr (0.1621, 0.1741, 0.5017)  5 Er 3.51-3.66, 2 Sc 3.52-3.58, 5 Pr 3.57-3.64
Pr (0.0000, 0.0000, 0.0000)  2 Sc 3.50, 8 Er 3.55-3.56, 2 Pr 3.60
Er (0.5000, 0.5000, 0.5000)  6 Pr 3.51-3.52, 2 Er 3.52, 4 Sc 3.59
Er (0.3321, 0.3356, 0.0001)  5 Pr 3.49-3.56, 3 Sc 3.52-3.53, 4 Er 3.52-3.59
Er (0.4206, 0.9100, 0.2488)  2 Sc 3.49, 3 Er 3.52-3.59, 7 Pr 3.55-3.66
Er (0.5794, 0.0900, 0.7512)  2 Sc 3.49, 3 Er 3.52-3.59, 7 Pr 3.55-3.66
Er (0.6679, 0.6644, 0.9999)  5 Pr 3.49-3.56, 3 Sc 3.52-3.53, 4 Er 3.52-3.59
Sc (0.9167, 0.4114, 0.7553)  7 Er 3.49-3.59, 5 Pr 3.50-3.58
Sc (0.0833, 0.5886, 0.2447)  7 Er 3.49-3.59, 5 Pr 3.50-3.58



## Te2W2Au (PBE)

Data for an optimized crystal structure of Te2W2Au.

Summary:
Polymorph energy (0 for the lowest one)   0.566 eV/atom
Total moment   0.00 μB/f.u.
Symmetry   P4/mbm, No. 127
Raw formation energy   0.98 eV per atom

a b c (Å): 8.0046 8.0046 3.1177
angles (deg): 90.00 90.00 90.00
Last column: nearest neighbours and their distance in Å.
Element x y z (fractional)
Te (0.3556, 0.8556, 0.0000)  6 W 2.79-2.83, 2 Au 3.07, 2 Te 3.12
Te (0.8556, 0.6444, 0.0000)  6 W 2.79-2.83, 2 Au 3.07, 2 Te 3.12
Te (0.6444, 0.1444, 0.0000)  6 W 2.79-2.83, 2 Au 3.07, 2 Te 3.12
Te (0.1444, 0.3556, 0.0000)  6 W 2.79-2.83, 2 Au 3.07, 2 Te 3.12
Au (0.0000, 0.0000, 0.0000)  4 Te 3.07, 2 Au 3.12, 8 W 3.42
Au (0.5000, 0.5000, 0.0000)  4 Te 3.07, 2 Au 3.12, 8 W 3.42
W (0.1512, 0.6512, 0.5000)  6 Te 2.79-2.83, 2 W 3.12
W (0.6512, 0.8488, 0.5000)  6 Te 2.79-2.83, 2 W 3.12
W (0.8488, 0.3488, 0.5000)  6 Te 2.79-2.83, 2 W 3.12
W (0.3488, 0.1512, 0.5000)  6 Te 2.79-2.83, 2 W 3.12



## NaPrSm2 (PBE)

Data for an optimized crystal structure of NaPrSm2.

Summary:
ΔH_f (0 K)   0.26 eV/atom
Polymorph energy (0 for the lowest one)   0.138 eV/atom
Total moment   0.00 μB/f.u.
Symmetry   P4/mmm, No. 123

a b c (Å): 5.3473 5.0530 5.0530
angles (deg): 90.00 90.00 90.00
Last column: nearest neighbours and their distance in Å.
Element x y z (fractional)
Pr (0.5000, 0.0000, 0.0000)  4 Na 3.57, 8 Sm 3.68
Na (0.5000, 0.5000, 0.5000)  4 Pr 3.57, 8 Sm 3.68
Sm (0.0000, 0.0000, 0.5000)  4 Sm 3.57, 4 Pr 3.68, 4 Na 3.68
Sm (0.0000, 0.5000, 0.0000)  4 Sm 3.57, 4 Na 3.68, 4 Pr 3.68



## Pm2HoErTm4 (PBE)

Data for an optimized crystal structure of Pm2HoErTm4.

Summary:
ΔH_f (0 K)   0.02 eV/atom
Total moment   0.00 μB/f.u.
Symmetry   P4/mmm, No. 123

a b c (Å): 5.0166 5.0066 11.1320
angles (deg): 63.28 90.00 90.00
Last column: nearest neighbours and their distance in Å.
Element x y z (fractional)
Pm (0.0000, 0.0000, 0.0000)  8 Tm 3.52-3.53, 4 Er 3.54
Pm (0.5000, 0.0000, 0.5000)  8 Tm 3.53, 4 Ho 3.54
Ho (0.0000, 0.5000, 0.5000)  8 Tm 3.53-3.54, 4 Pm 3.54
Er (0.5000, 0.5000, 0.0000)  8 Tm 3.52-3.53, 4 Pm 3.54
Tm (0.0000, 0.7504, 0.7501)  4 Pm 3.52-3.53, 2 Ho 3.53, 2 Er 3.53, 4 Tm 3.54
Tm (0.0000, 0.2496, 0.2499)  4 Pm 3.52-3.53, 2 Ho 3.53, 2 Er 3.53, 4 Tm 3.54
Tm (0.5000, 0.7502, 0.2495)  2 Er 3.52-3.53, 4 Pm 3.53, 2 Ho 3.53-3.54, 4 Tm 3.54
Tm (0.5000, 0.2498, 0.7505)  2 Er 3.52-3.53, 4 Pm 3.53, 2 Ho 3.53, 4 Tm 3.54



## La2ZnCuRu (PBE)

Data for an optimized crystal structure of La2ZnCuRu.

Summary:
ΔH_f (0 K)   -0.24 eV/atom
Total moment   0.00 μB/f.u.
Symmetry   P2_1/m, No. 11

a b c (Å): 4.2937 7.0972 7.8833
angles (deg): 105.31 90.00 90.00
Last column: nearest neighbours and their distance in Å.
Element x y z (fractional)
La (0.7500, 0.8734, 0.6614)  2 Ru 2.88, 2 Cu 3.16
La (0.7500, 0.7177, 0.0610)  3 Ru 2.79-2.97
La (0.2500, 0.1266, 0.3386)  2 Ru 2.88, 2 Cu 3.16
La (0.2500, 0.2823, 0.9390)  3 Ru 2.79-2.97
Zn (0.2500, 0.6333, 0.3505)  3 Cu 2.49-2.57
Zn (0.7500, 0.3667, 0.6495)  3 Cu 2.49-2.57
Cu (0.2500, 0.5431, 0.6450)  3 Zn 2.49-2.57, 1 Ru 2.57
Cu (0.7500, 0.4569, 0.3550)  3 Zn 2.49-2.57, 1 Ru 2.57
Ru (0.2500, 0.8551, 0.9006)  1 Cu 2.57, 2 La 2.79
Ru (0.7500, 0.1449, 0.0994)  1 Cu 2.57, 2 La 2.79



Question: What is the total moment in the second record?
Answer: 0.00 μB/f.u.